Density functional theory data (PBE-GGA) for crystalline NaU5Se6 at its relaxed geometry.

Its calculated total energy is -7.58 eV per atom.

The structure belongs to space group C2/m (No. 12); the cell edges are 7.086, 12.329 and 7.015 Å and the angles 90.00°, 109.91° and 90.00°. The asymmetric unit holds Na at (0.000, 0.000, 0.000), U at (0.000, 0.168, 0.500), U at (0.000, 0.334, 0.000), U at (0.000, 0.500, 0.500), Se at (0.247, 0.000, 0.751) and Se at (0.247, 0.165, 0.247).

Density functional theory data (PBE-GGA) for crystalline Ac2YO4 at its relaxed geometry.

Its calculated total energy is -7.93 eV per atom.

The structure belongs to space group I4/mmm (No. 139); the cell edges are 4.390, 4.390 and 13.203 Å and the angles 90.00°, 90.00° and 90.00°. The asymmetric unit holds Ac at (0.000, 0.000, 0.150), Y at (0.000, 0.000, 0.500), O at (0.000, 0.000, 0.325) and O at (0.000, 0.500, 0.000).

Density functional theory data (PBE-GGA) for crystalline Si2TcSe at its relaxed geometry.

Its calculated total energy is -6.04 eV per atom.

The structure belongs to space group R3m (No. 160, hexagonal axes); the cell edges are 3.0190, 3.0190 and 26.1027 Å and the angles 90.00°, 90.00° and 120.00°. The asymmetric unit holds Si at (0.0000, 0.0000, 0.0000), Si at (0.0000, 0.0000, 0.2608), Tc at (0.0000, 0.0000, 0.5197) and Se at (0.0000, 0.0000, 0.7856).

Density functional theory data (PBE-GGA) for crystalline La2Te2I at its relaxed geometry.

Its calculated total energy is -4.81 eV per atom.

The structure belongs to space group I4/mmm (No. 139); the cell edges are 5.852, 5.852 and 12.078 Å and the angles 90.00°, 90.00° and 90.00°. The asymmetric unit holds La at (0.000, 0.500, 0.250), Te at (0.000, 0.000, 0.154) and I at (0.000, 0.000, 0.500).

Density functional theory data (PBE-GGA) for crystalline Gd2Er at its relaxed geometry.

Its formation energy is 0.255 eV/atom. Its calculated total energy is -10.65 eV per atom.

The structure belongs to space group Fd-3m (No. 227, origin choice 2); the cell edges are 9.255, 9.255 and 9.255 Å and the angles 90.00°, 90.00° and 90.00°. The asymmetric unit holds Gd at (0.000, 0.000, 0.000) and Er at (0.125, 0.125, 0.625).

Density functional theory data (PBE-GGA) for crystalline Ti2TlAs at its relaxed geometry.

Its formation energy is -0.030 eV/atom. Its calculated total energy is -5.73 eV per atom.

The structure belongs to space group Fm-3m (No. 225); the cell edges are 6.637, 6.637 and 6.637 Å and the angles 90.00°, 90.00° and 90.00°. The asymmetric unit holds Ti at (0.250, 0.250, 0.250), Tl at (0.000, 0.000, 0.000) and As at (0.000, 0.000, 0.500).

Density functional theory data (PBE-GGA) for crystalline Sm4SnBi2Te at its relaxed geometry.

Its calculated total energy is -5.24 eV per atom.

The structure belongs to space group I-4m2 (No. 119); the cell edges are 6.384, 6.384 and 12.767 Å and the angles 90.00°, 90.00° and 90.00°. The asymmetric unit holds Sm at (0.000, 0.000, 0.247), Sm at (0.000, 0.500, 0.000), Sn at (0.000, 0.000, 0.000), Bi at (0.000, 0.000, 0.500), Bi at (0.000, 0.500, 0.250) and Te at (0.000, 0.500, 0.750).

Density functional theory data (PBE-GGA) for crystalline MgCoAu2 at its relaxed geometry.

Its formation energy is -0.059 eV/atom. Its calculated total energy is -3.87 eV per atom.

The structure belongs to space group P4mm (No. 99); the cell edges are 3.349, 3.349 and 5.853 Å and the angles 90.00°, 90.00° and 90.00°. The asymmetric unit holds Mg at (0.000, 0.000, 0.000), Co at (0.500, 0.500, 0.739), Au at (0.000, 0.000, 0.536) and Au at (0.500, 0.500, 0.239).

Density functional theory data (PBE-GGA) for crystalline ScBeFeI2 at its relaxed geometry.

Its calculated total energy is -3.60 eV per atom.

The structure belongs to space group P4/mmm (No. 123); the cell edges are 5.227, 5.227 and 4.629 Å and the angles 90.00°, 90.00° and 90.00°. The asymmetric unit holds Sc at (0.000, 0.000, 0.000), Be at (0.500, 0.500, 0.000), Fe at (0.000, 0.000, 0.500) and I at (0.000, 0.500, 0.500).

Density functional theory data (PBE-GGA) for crystalline GdTh2H at its relaxed geometry.

Its calculated total energy is -7.99 eV per atom.

The structure belongs to space group R-3m (No. 166, hexagonal axes); the cell edges are 3.4557, 3.4557 and 29.3219 Å and the angles 90.00°, 90.00° and 120.00°. The asymmetric unit holds Gd at (0.0000, 0.0000, 0.0000), Th at (0.0000, 0.0000, 0.1129) and H at (0.0000, 0.0000, 0.5000).

Density functional theory data (PBE-GGA) for crystalline OsRhW2 at its relaxed geometry.

Its formation energy is -0.072 eV/atom. Its calculated total energy is -11.19 eV per atom.

The structure belongs to space group I4/mmm (No. 139); the cell edges are 3.955, 3.955 and 7.740 Å and the angles 90.00°, 90.00° and 90.00°. The asymmetric unit holds Os at (0.000, 0.000, 0.000), Rh at (0.000, 0.000, 0.500) and W at (0.000, 0.500, 0.250).

Density functional theory data (PBE-GGA) for crystalline Mn2TlCu at its relaxed geometry.

Its formation energy is 0.455 eV/atom. Its calculated total energy is -5.74 eV per atom.

The structure belongs to space group Imm2 (No. 44); the cell edges are 3.900, 3.969 and 8.440 Å and the angles 90.00°, 90.00° and 90.00°. The asymmetric unit holds Mn at (0.000, 0.000, 0.000), Mn at (0.000, 0.500, 0.249), Tl at (0.000, 0.500, 0.751) and Cu at (0.000, 0.000, 0.501).

The records above give, respectively, magnetization values of 1.200 0.000 0.000 0.000 4.782 0.000 0.000 0.403 0.179 1.821 0.000 1.852 μB/atom.